[1]
# SrSiBr (meta-GGA SCAN, single point on PBEsol structure)
data_SrSiBr
_chemical_formula_sum 'Sr2 Si2 Br2'
_cell_length_a 3.806
_cell_length_b 3.806
_cell_length_c 11.499
_cell_angle_alpha 90.00
_cell_angle_beta 90.00
_cell_angle_gamma 90.00
_symmetry_space_group_name_H-M 'I 4 m m'
_symmetry_Int_Tables_number 107
_symmetry_space_group_name_Hall 'I 4 -2'
loop_
_atom_site_label
_atom_site_fract_x
_atom_site_fract_y
_atom_site_fract_z
Sr1 0.000 0.000 0.000
Si1 0.000 0.000 0.670
Br1 0.000 0.000 0.369
# Crystal system = tetragonal
# Uncorrected energy = -17.66 eV per atom
# V = 27.76 A^3/atom

---

[2]
# Sc3GeOs (meta-GGA SCAN, single point on PBEsol structure)
data_Sc3GeOs
_chemical_formula_sum 'Sc3 Ge1 Os1'
_cell_length_a 4.913
_cell_length_b 4.913
_cell_length_c 4.913
_cell_angle_alpha 90.00
_cell_angle_beta 90.00
_cell_angle_gamma 90.00
_symmetry_space_group_name_H-M 'P m -3 m'
_symmetry_Int_Tables_number 221
_symmetry_space_group_name_Hall '-P 4 2 3'
loop_
_atom_site_label
_atom_site_fract_x
_atom_site_fract_y
_atom_site_fract_z
Sc1 0.000 0.000 0.500
Ge1 0.500 0.500 0.500
Os1 0.000 0.000 0.000
# Crystal system = cubic
# Uncorrected energy = -26.83 eV per atom
# V = 23.71 A^3/atom

---

[3]
# Y2NiCl (meta-GGA SCAN, single point on PBEsol structure)
data_Y2NiCl
_chemical_formula_sum 'Y2 Ni1 Cl1'
_cell_length_a 3.841
_cell_length_b 3.841
_cell_length_c 5.610
_cell_angle_alpha 90.00
_cell_angle_beta 90.00
_cell_angle_gamma 90.00
_symmetry_space_group_name_H-M 'P 4/m m m'
_symmetry_Int_Tables_number 123
_symmetry_space_group_name_Hall '-P 4 2'
loop_
_atom_site_label
_atom_site_fract_x
_atom_site_fract_y
_atom_site_fract_z
Y1 0.000 0.000 0.000
Y2 0.500 0.500 0.500
Ni1 0.000 0.000 0.500
Cl1 0.500 0.500 0.000
# Crystal system = tetragonal
# Uncorrected energy = -20.91 eV per atom
# V = 20.69 A^3/atom
# Relative energy among the computed polymorphs = 0.102 eV per atom